No. 1
Below is an optimized crystal structure of CeThSn2, with properties calculated at the PBE level.

## Properties
DOS(E_F): 7.4 states/eV/cell
VASP energy: -5.89 eV/atom
ΔE_f: -0.550 eV per atom

Cell and atoms, written as POSCAR:
```
CeThSn2
1.0
-2.2044 2.6039 -0.9507
-2.6915 -2.3012 -0.0619
-1.6886 1.7413 8.6844
Ce Sn Th
1 2 1
direct
0.5000 0.5000 0.5000
0.0000 0.0000 0.7479
0.0000 0.0000 0.2521
0.5000 0.5000 0.0000
```

No. 2
Below is an optimized crystal structure of Pr2MgNi4Sb3, with properties calculated at the PBE level.

## Properties
DOS(E_F): 6.4 states/eV/cell
formation energy (no corrections): -0.633 eV per atom
VASP energy: -5.30 eV/atom

Cell and atoms, written as POSCAR:
```
Pr2MgNi4Sb3
1.0
4.3753 0.0000 0.0000
0.0000 4.3753 0.0000
0.0000 0.0000 10.3231
Pr Sb Ni Mg
2 3 4 1
direct
0.0000 0.5000 0.7628
0.5000 0.0000 0.2372
0.0000 0.5000 0.1294
0.0000 0.0000 0.5000
0.5000 0.0000 0.8706
0.5000 0.0000 0.6300
0.0000 0.0000 0.0000
0.0000 0.5000 0.3700
0.5000 0.5000 0.0000
0.5000 0.5000 0.5000
```

No. 3
Below is an optimized crystal structure of Mg2CrCd, with properties calculated at the PBE level.

## Properties
DOS(E_F): 1.9 states/eV/cell
VASP energy: -3.08 eV/atom
ΔE_f: 0.350 eV per atom

Cell and atoms, written as POSCAR:
```
Mg2CrCd
1.0
-0.6324 -2.6209 0.9154
2.7760 -0.5854 0.2415
-0.1074 2.9844 8.4709
Mg Cd Cr
2 1 1
direct
0.0000 0.0000 0.5267
0.0000 0.0000 0.9733
0.5000 0.5000 0.2500
0.5000 0.5000 0.7500
```

No. 4
Below is an optimized crystal structure of ZrNi, with properties calculated at the PBE level.

## Properties
DOS(E_F): 21.0 states/eV/cell
VASP energy: -7.09 eV/atom
ΔE_f: 0.074 eV per atom

Cell and atoms, written as POSCAR:
```
ZrNi
1.0
-2.8523 -8.7636 3.5530
8.7485 -1.0366 4.4663
-1.0364 1.2808 2.3273
Zr Ni
8 8
direct
0.1226 0.1848 0.5000
0.3774 0.3152 0.0000
0.8774 0.8152 0.5000
0.6848 0.3774 0.0000
0.8152 0.1226 0.5000
0.3152 0.6226 0.0000
0.6226 0.6848 0.0000
0.1848 0.8774 0.5000
0.6274 0.9230 0.5000
0.4230 0.8726 0.0000
0.5770 0.1274 0.0000
0.3726 0.0770 0.5000
0.0770 0.6274 0.5000
0.9230 0.3726 0.5000
0.8726 0.5770 0.0000
0.1274 0.4230 0.0000
```

No. 5
Below is an optimized crystal structure of LaYMo2, with properties calculated at the PBE level.

## Properties
DOS(E_F): 4.1 states/eV/cell
offset from the most stable computed form: 0.544 eV per atom
VASP energy: -7.54 eV/atom
ΔE_f: 0.727 eV per atom

Cell and atoms, written as POSCAR:
```
LaYMo2
1.0
5.8863 0.0002 0.0000
-2.9527 5.0922 0.0000
0.0000 0.0000 2.9062
La Mo Y
1 2 1
direct
0.0000 0.5000 0.5000
0.5000 0.5000 0.0000
0.0000 0.0000 0.0000
0.5000 0.0000 0.5000
```

No. 6
Below is an optimized crystal structure of BeAlOs2, with properties calculated at the PBE level.

## Properties
DOS(E_F): 2.8 states/eV/cell
VASP energy: -7.54 eV/atom
ΔE_f: -0.057 eV per atom

Cell and atoms, written as POSCAR:
```
BeAlOs2
1.0
4.0779 0.0000 0.0000
0.0000 2.7917 0.0024
0.0000 1.3821 4.6442
Al Be Os
1 1 2
direct
0.0000 0.5416 0.5398
0.5000 0.9470 0.7327
0.0000 0.8121 0.0025
0.5000 0.1993 0.2249
```

No. 7
Below is an optimized crystal structure of Ti4Ga4Ir, with properties calculated at the PBE level.

## Properties
DOS(E_F): 7.0 states/eV/cell
VASP energy: -6.21 eV/atom
ΔE_f: -0.366 eV per atom

Cell and atoms, written as POSCAR:
```
Ti4Ga4Ir
1.0
3.2862 0.0000 0.0000
1.6431 6.6241 0.0000
1.6431 0.0000 6.6241
Ir Ti Ga
1 4 4
direct
0.0000 0.0000 0.0000
0.6639 0.0000 0.6722
0.6639 0.6722 0.0000
0.3361 0.0000 0.3278
0.3361 0.3278 0.0000
0.6755 0.3245 0.3245
0.0000 0.6755 0.3245
0.0000 0.3245 0.6755
0.3245 0.6755 0.6755
```

No. 8
Below is an optimized crystal structure of As2RhWSe, with properties calculated at the PBE level.

## Properties
DOS(E_F): 3.9 states/eV/cell
offset from the most stable computed form: 0.000 eV per atom
formation energy (no corrections): 0.878 eV per atom
VASP energy: -5.74 eV/atom

Cell and atoms, written as POSCAR:
```
As2RhWSe
1.0
4.8614 0.0000 0.0000
0.0000 4.8614 0.0000
0.0000 0.0000 4.8080
W As Rh Se
1 2 1 1
direct
0.0000 0.0000 0.0000
0.0000 0.5000 0.0000
0.5000 0.0000 0.0000
0.5000 0.5000 0.5000
0.0000 0.0000 0.5000
```

No. 9
Below is an optimized crystal structure of YGe2Rh2, with properties calculated at the PBE level.

## Properties
DOS(E_F): 3.0 states/eV/cell
VASP energy: -6.77 eV/atom
ΔE_f: -0.688 eV per atom

Cell and atoms, written as POSCAR:
```
YGe2Rh2
1.0
-2.2709 -0.2835 -3.7049
0.8094 -4.2755 -0.1689
-4.7797 -3.1467 0.6111
Ge Y Rh
2 1 2
direct
0.2500 0.7500 0.5000
0.7500 0.2500 0.5000
0.0000 0.0000 0.0000
0.3671 0.3671 0.2658
0.6329 0.6329 0.7342
```

No. 10
Below is an optimized crystal structure of Tb12Ni6Pd, with properties calculated at the PBE level.

## Properties
DOS(E_F): 20.3 states/eV/cell
offset from the most stable computed form: 0.134 eV per atom
VASP energy: -5.24 eV/atom
ΔE_f: -0.216 eV per atom

Cell and atoms, written as POSCAR:
```
Tb12Ni6Pd
1.0
8.0616 -0.0568 -0.0680
-1.2783 7.9599 -0.0680
-1.2783 -1.4893 7.8196
Ni Tb Pd
6 12 1
direct
0.3108 0.1327 0.6126
0.1327 0.6126 0.3108
0.6126 0.3108 0.1327
0.3874 0.6892 0.8673
0.6892 0.8673 0.3874
0.8673 0.3874 0.6892
0.9114 0.0597 0.6715
0.9403 0.3285 0.0886
0.4130 0.5711 0.1802
0.0886 0.9403 0.3285
0.3285 0.0886 0.9403
0.0597 0.6715 0.9114
0.5870 0.4289 0.8198
0.6715 0.9114 0.0597
0.5711 0.1802 0.4130
0.8198 0.5870 0.4289
0.4289 0.8198 0.5870
0.1802 0.4130 0.5711
0.0000 0.0000 0.0000
```

No. 11
Below is an optimized crystal structure of Hf5Nb2Ge5, with properties calculated at the PBE level.

## Properties
DOS(E_F): 9.4 states/eV/cell
VASP energy: -8.08 eV/atom
ΔE_f: -0.328 eV per atom

Cell and atoms, written as POSCAR:
```
Hf5Nb2Ge5
1.0
3.7246 0.0000 0.0000
-1.8623 6.2107 -0.1895
0.0000 -3.2682 10.5269
Hf Ge Nb
5 5 2
direct
0.3351 0.6702 0.9549
0.2689 0.5378 0.6550
0.7311 0.4622 0.3450
0.6649 0.3298 0.0451
0.5000 0.0000 0.5000
0.1192 0.2383 0.4281
0.0000 0.0000 0.0000
0.8808 0.7617 0.5719
0.3184 0.6368 0.2142
0.6816 0.3632 0.7858
0.9655 0.9310 0.2111
0.0345 0.0690 0.7889
```

No. 12
Below is an optimized crystal structure of Tm2MgScC, with properties calculated at the PBE level.

## Properties
DOS(E_F): 6.1 states/eV/cell
VASP energy: -5.48 eV/atom
ΔE_f: -0.261 eV per atom

Cell and atoms, written as POSCAR:
```
Tm2MgScC
1.0
-0.2958 2.4328 3.8212
2.2461 -3.6284 2.4838
4.3853 2.0525 -0.9673
Mg Tm C Sc
1 2 1 1
direct
0.5000 0.5000 0.5000
0.0000 0.5000 0.0000
0.0000 0.0000 0.5000
0.0000 0.0000 0.0000
0.5000 0.0000 0.0000
```

- VASP energy of number 11 (Hf5Nb2Ge5)?
  -8.08 eV/atom